{"formula": "RbSrSCl2", "functional": "PBE-GGA", "state": "relaxed", "lattice": [[-4.071, -3.941, 0.835], [1.779, -0.695, 5.399], [-3.409, 3.865, 1.621]], "species": ["Sr", "S", "Rb", "Cl", "Cl"], "frac_coords": [[0.500, 0.500, 0.500], [0.000, 0.000, 0.500], [0.000, 0.000, 0.000], [0.000, 0.500, 0.000], [0.500, 0.000, 0.000]], "magmom_total_mub_per_fu": 0.0, "raw_formation_energy_ev_per_atom": -0.935, "e_above_lowest_polymorph_ev_per_atom": 0.657}